[1]
InSnPd3: relaxed, PBE.

```
InSnPd3
1.0
4.980 -2.049 0.000
4.980 2.049 0.000
-0.705 0.000 8.664
In Sn Pd
2 2 6
Direct
0.144 0.144 0.060
0.856 0.856 0.940
0.357 0.357 0.432
0.643 0.643 0.568
0.066 0.066 0.360
0.250 0.250 0.750
0.443 0.443 0.145
0.557 0.557 0.855
0.750 0.750 0.250
0.934 0.934 0.640
```

Calculated values
energy relative to the lowest polymorph listed for this composition	0	meV per atom

=====

[2]
In2SnPd5: relaxed, PBE.

```
In2SnPd5
1.0
-2.315 2.315 6.459
2.315 -2.315 6.459
2.315 2.315 -6.459
In Sn Pd
2 1 5
Direct
0.240 0.240 0.000
0.760 0.760 0.000
0.500 0.500 0.000
0.000 0.000 0.000
0.125 0.625 0.500
0.375 0.875 0.500
0.625 0.125 0.500
0.875 0.375 0.500
```

Calculated values
DFT total energy	-4.890	eV per atom

=====

Number 1: magnetization 0.00 μB/f.u.. Number 2: magnetization 0.00 μB/f.u..